The following is a PBE-GGA calculation of crystalline TmHfGa6 at its relaxed geometry, from Alexandria via LeMat-Bulk.

a b c (Å): 4.1752 4.1752 8.3303
angles (deg): 90.00 90.00 90.00
Positions (direct):
Tm 0.0000 0.0000 0.0000
Hf 0.0000 0.0000 0.5000
Ga 0.0000 0.5000 0.2564
Ga 0.0000 0.5000 0.7436
Ga 0.5000 0.0000 0.2564
Ga 0.5000 0.0000 0.7436
Ga 0.5000 0.5000 0.0000
Ga 0.5000 0.5000 0.5000

Results
formation energy: -0.4425 eV per atom
final energy: -36.126 eV per cell